(1)
# Mg24Zr5

Mg24Zr5 at its PBEsol-relaxed geometry (meta-GGA SCAN, Alexandria via LeMat-Bulk).

E in eV/atom: -9.3731
DOS at the Fermi energy in states/eV per atom: 0.435
ΔE_f in eV/f.u.: 1.04

```
data_Mg24Zr5
_space_group_name_H-M_alt 'I -4 3 m'
_space_group_IT_number 217
_space_group_name_Hall 'I -4 2 3'
_cell_length_a 10.8307
_cell_length_b 10.8307
_cell_length_c 10.8307
_cell_angle_alpha 90.00
_cell_angle_beta 90.00
_cell_angle_gamma 90.00
loop_
_atom_site_label
_atom_site_fract_x
_atom_site_fract_y
_atom_site_fract_z
_atom_site_occupancy
Mg1 0.0390 0.3538 0.3538 1
Mg2 0.0899 0.0899 0.2785 1
Zr1 0.0000 0.0000 0.0000 1
Zr2 0.1801 0.1801 0.8199 1
```

(2)
# Y2Ag2Bi

Y2Ag2Bi at its PBEsol-relaxed geometry (meta-GGA SCAN, Alexandria via LeMat-Bulk).

E in eV/atom: -39.5943
DOS at the Fermi energy in states/eV per atom: 0.527
ΔE_f in eV/f.u.: -0.97

```
data_Y2Ag2Bi
_space_group_name_H-M_alt 'I 4/m m m'
_space_group_IT_number 139
_space_group_name_Hall '-I 4 2'
_cell_length_a 4.9726
_cell_length_b 4.9726
_cell_length_c 10.7896
_cell_angle_alpha 90.00
_cell_angle_beta 90.00
_cell_angle_gamma 90.00
loop_
_atom_site_label
_atom_site_fract_x
_atom_site_fract_y
_atom_site_fract_z
_atom_site_occupancy
Y1 0.0000 0.5000 0.2500 1
Ag1 0.0000 0.0000 0.1170 1
Bi1 0.0000 0.0000 0.5000 1
```

(3)
# RbGeNF2

RbGeNF2 at its PBEsol-relaxed geometry (meta-GGA SCAN, Alexandria via LeMat-Bulk).

E in eV/atom: -10.8834
Uncorrected formation energy in eV per atom: 0.36
DOS at the Fermi energy in states/eV per atom: 0.461

```
data_RbGeNF2
_space_group_name_H-M_alt 'P 4/m m m'
_space_group_IT_number 123
_space_group_name_Hall '-P 4 2'
_cell_length_a 4.7523
_cell_length_b 4.7523
_cell_length_c 4.6041
_cell_angle_alpha 90.00
_cell_angle_beta 90.00
_cell_angle_gamma 90.00
loop_
_atom_site_label
_atom_site_fract_x
_atom_site_fract_y
_atom_site_fract_z
_atom_site_occupancy
Rb1 0.0000 0.0000 0.0000 1
Ge1 0.5000 0.5000 0.5000 1
N1 0.0000 0.0000 0.5000 1
F1 0.0000 0.5000 0.0000 1
```

(4)
# KInTe2O6

KInTe2O6 at its PBEsol-relaxed geometry (meta-GGA SCAN, Alexandria via LeMat-Bulk).

E in eV/atom: -16.8623
Uncorrected formation energy in eV per atom: -1.50
DOS at the Fermi energy in states/eV per atom: 0.000

```
data_KInTe2O6
_space_group_name_H-M_alt 'P n m a'
_space_group_IT_number 62
_cell_length_a 13.1401
_cell_length_b 5.8795
_cell_length_c 8.1675
_cell_angle_alpha 90.00
_cell_angle_beta 90.00
_cell_angle_gamma 90.00
loop_
_space_group_symop_operation_xyz
'x,y,z'
'-x,-y,-z'
'-x+1/2,-y,z+1/2'
'x+1/2,y,-z+1/2'
'x+1/2,-y+1/2,-z+1/2'
'-x+1/2,y+1/2,z+1/2'
'-x,y+1/2,-z'
'x,-y+1/2,z'
loop_
_atom_site_label
_atom_site_fract_x
_atom_site_fract_y
_atom_site_fract_z
_atom_site_occupancy
K1 0.1332 0.2500 0.0095 1
In1 0.0897 0.7500 0.2852 1
Te1 0.0797 0.7500 0.7166 1
Te2 0.1936 0.2500 0.5109 1
O1 0.0075 0.7500 0.5145 1
O2 0.0106 0.5055 0.8131 1
O3 0.1628 0.7500 0.0451 1
O4 0.2006 0.0048 0.3618 1
```

(5)
# TaHg2Cl

TaHg2Cl at its PBEsol-relaxed geometry (meta-GGA SCAN, Alexandria via LeMat-Bulk).

E in eV/atom: -52.3879
Uncorrected formation energy in eV per atom: 0.34
DOS at the Fermi energy in states/eV per atom: 0.538
E above lowest polymorph in meV/atom: 240

```
data_TaHg2Cl
_space_group_name_H-M_alt 'P 1 2/m 1'
_space_group_IT_number 10
_cell_length_a 3.0294
_cell_length_b 5.5596
_cell_length_c 4.8319
_cell_angle_alpha 90.00
_cell_angle_beta 93.02
_cell_angle_gamma 90.00
loop_
_space_group_symop_operation_xyz
'x,y,z'
'-x,-y,-z'
'-x,y,-z'
'x,-y,z'
loop_
_atom_site_label
_atom_site_fract_x
_atom_site_fract_y
_atom_site_fract_z
_atom_site_occupancy
Ta1 0.0000 0.0000 0.0000 1
Hg1 0.2785 0.5000 0.2437 1
Cl1 0.0000 0.0000 0.5000 1
```

(6)
# Sc2FeHg

Sc2FeHg at its PBEsol-relaxed geometry (meta-GGA SCAN, Alexandria via LeMat-Bulk).

E in eV/atom: -29.0625
DOS at the Fermi energy in states/eV per atom: 0.405
ΔE_f in eV/f.u.: -1.48

```
data_Sc2FeHg
_space_group_name_H-M_alt 'P 4/m m m'
_space_group_IT_number 123
_space_group_name_Hall '-P 4 2'
_cell_length_a 3.1565
_cell_length_b 3.1565
_cell_length_c 7.0388
_cell_angle_alpha 90.00
_cell_angle_beta 90.00
_cell_angle_gamma 90.00
loop_
_atom_site_label
_atom_site_fract_x
_atom_site_fract_y
_atom_site_fract_z
_atom_site_occupancy
Sc1 0.0000 0.0000 0.2090 1
Fe1 0.5000 0.5000 0.0000 1
Hg1 0.5000 0.5000 0.5000 1
```

(7)
# IrAu3N

IrAu3N at its PBEsol-relaxed geometry (meta-GGA SCAN, Alexandria via LeMat-Bulk).

E in eV/atom: -56.4220
Uncorrected formation energy in eV per atom: 1.15
DOS at the Fermi energy in states/eV per atom: 0.712

```
data_IrAu3N
_space_group_name_H-M_alt 'P m -3 m'
_space_group_IT_number 221
_space_group_name_Hall '-P 4 2 3'
_cell_length_a 4.2075
_cell_length_b 4.2075
_cell_length_c 4.2075
_cell_angle_alpha 90.00
_cell_angle_beta 90.00
_cell_angle_gamma 90.00
loop_
_atom_site_label
_atom_site_fract_x
_atom_site_fract_y
_atom_site_fract_z
_atom_site_occupancy
Ir1 0.0000 0.0000 0.0000 1
Au1 0.0000 0.5000 0.5000 1
N1 0.5000 0.5000 0.5000 1
```

(8)
# YBeRe2

YBeRe2 at its PBEsol-relaxed geometry (meta-GGA SCAN, Alexandria via LeMat-Bulk).

E in eV/atom: -43.2802
DOS at the Fermi energy in states/eV per atom: 0.533
ΔE_f in eV/f.u.: 1.27

```
data_YBeRe2
_space_group_name_H-M_alt 'P 1 2/m 1'
_space_group_IT_number 10
_cell_length_a 3.2012
_cell_length_b 4.4457
_cell_length_c 4.6320
_cell_angle_alpha 90.00
_cell_angle_beta 98.83
_cell_angle_gamma 90.00
loop_
_space_group_symop_operation_xyz
'x,y,z'
'-x,-y,-z'
'-x,y,-z'
'x,-y,z'
loop_
_atom_site_label
_atom_site_fract_x
_atom_site_fract_y
_atom_site_fract_z
_atom_site_occupancy
Y1 0.0000 0.0000 0.0000 1
Be1 0.5000 0.0000 0.5000 1
Re1 0.3292 0.5000 0.7190 1
```

(9)
# ZrCu2Ir

ZrCu2Ir at its PBEsol-relaxed geometry (meta-GGA SCAN, Alexandria via LeMat-Bulk).

E in eV/atom: -33.3800
DOS at the Fermi energy in states/eV per atom: 0.334
ΔE_f in eV/f.u.: -1.32
E above lowest polymorph in meV/atom: 151

```
data_ZrCu2Ir
_space_group_name_H-M_alt 'P m m 2'
_space_group_IT_number 25
_cell_length_a 2.9873
_cell_length_b 3.5923
_cell_length_c 5.4753
_cell_angle_alpha 90.00
_cell_angle_beta 90.00
_cell_angle_gamma 90.00
loop_
_space_group_symop_operation_xyz
'x,y,z'
'-x,-y,z'
'-x,y,z'
'x,-y,z'
loop_
_atom_site_label
_atom_site_fract_x
_atom_site_fract_y
_atom_site_fract_z
_atom_site_occupancy
Zr1 0.0000 0.0000 0.0000 1
Cu1 0.0000 0.0000 0.5094 1
Cu2 0.5000 0.5000 0.7129 1
Ir1 0.5000 0.5000 0.2511 1
```

(10)
# RuBrF2

RuBrF2 at its PBEsol-relaxed geometry (meta-GGA SCAN, Alexandria via LeMat-Bulk).

E in eV/atom: -15.9475
Uncorrected formation energy in eV per atom: -0.61
DOS at the Fermi energy in states/eV per atom: 0.781
E above lowest polymorph in meV/atom: 0

```
data_RuBrF2
_space_group_name_H-M_alt 'R -3 m'
_space_group_IT_number 166
_space_group_name_Hall '-R 3 2"'
_cell_length_a 2.7306
_cell_length_b 2.7306
_cell_length_c 29.2617
_cell_angle_alpha 90.00
_cell_angle_beta 90.00
_cell_angle_gamma 120.00
loop_
_atom_site_label
_atom_site_fract_x
_atom_site_fract_y
_atom_site_fract_z
_atom_site_occupancy
Ru1 0.0000 0.0000 0.0000 1
Br1 0.0000 0.0000 0.5000 1
F1 0.0000 0.0000 0.0632 1
```

(11)
# SrAlOs4

SrAlOs4 at its PBEsol-relaxed geometry (meta-GGA SCAN, Alexandria via LeMat-Bulk).

E in eV/atom: -52.4821
DOS at the Fermi energy in states/eV per atom: 1.340
ΔE_f in eV/f.u.: 2.65

```
data_SrAlOs4
_space_group_name_H-M_alt 'F -4 3 m'
_space_group_IT_number 216
_space_group_name_Hall 'F -4 2 3'
_cell_length_a 7.4309
_cell_length_b 7.4309
_cell_length_c 7.4309
_cell_angle_alpha 90.00
_cell_angle_beta 90.00
_cell_angle_gamma 90.00
loop_
_atom_site_label
_atom_site_fract_x
_atom_site_fract_y
_atom_site_fract_z
_atom_site_occupancy
Sr1 0.0000 0.0000 0.0000 1
Al1 0.2500 0.2500 0.2500 1
Os1 0.1242 0.1242 0.6242 1
```

(12)
# NaTiBePd2

NaTiBePd2 at its PBEsol-relaxed geometry (meta-GGA SCAN, Alexandria via LeMat-Bulk).

E in eV/atom: -17.4219
DOS at the Fermi energy in states/eV per atom: 0.576
ΔE_f in eV/f.u.: 3.04

```
data_NaTiBePd2
_space_group_name_H-M_alt 'P 4/m m m'
_space_group_IT_number 123
_space_group_name_Hall '-P 4 2'
_cell_length_a 4.6280
_cell_length_b 4.6280
_cell_length_c 4.6613
_cell_angle_alpha 90.00
_cell_angle_beta 90.00
_cell_angle_gamma 90.00
loop_
_atom_site_label
_atom_site_fract_x
_atom_site_fract_y
_atom_site_fract_z
_atom_site_occupancy
Na1 0.0000 0.0000 0.0000 1
Ti1 0.5000 0.5000 0.5000 1
Be1 0.5000 0.5000 0.0000 1
Pd1 0.0000 0.5000 0.5000 1
```

Which of these has the highest E? Mg24Zr5

What is the E in the second record? -39.5943 eV/atom